Entry from Alexandria: crystalline ZrZnW at its relaxed geometry (GGA-PBE).

abc: 7.1448 7.0235 2.8160
angles: 80.97 76.13 22.91
With the nearest neighbours (Å) after each atom.
Fractional positions:
Zr 0.0000 0.0000 0.0000  4 Zr 2.82, 2 W 2.93, 2 Zn 2.95
Zn 0.6744 0.6744 0.3256  4 W 2.73-3.03, 4 Zn 2.82, 2 Zr 2.95
W 0.3274 0.3274 0.6726  4 Zn 2.73-3.03, 4 W 2.82, 2 Zr 2.93

SG: Fmm2
formation energy: 155 meV/atom
calculated total energy: -22.31 eV/cell
D(E_F): 3.0 states/eV/f.u.